[1]
Density functional theory data (PBE-GGA) for crystalline CdSnTeSe at its relaxed geometry.

abc: 9.235 9.235 9.235
angles: 27.43 27.43 27.43
Fractional coordinates of all 4 atoms:
Cd: 0.000 0.000 0.000
Sn: 0.491 0.491 0.491
Te: 0.886 0.886 0.886
Se: 0.363 0.363 0.363

- size of the total moment (μB/f.u.) = 0.000
- crystal system = trigonal
- formation energy from raw total energies (kJ per mole of atoms) = -31


[2]
Density functional theory data (PBE-GGA) for crystalline K2LiV at its relaxed geometry.

abc: 6.068 6.068 6.068
angles: 60.00 60.00 60.00
Fractional coordinates of all 4 atoms:
K: 0.250 0.250 0.250
K: 0.750 0.750 0.750
Li: 0.000 0.000 0.000
V: 0.500 0.500 0.500

- relative energy among the computed polymorphs (meV/atom) = 0
- E_form (eV per atom) = 0.939
- size of the total moment (μB/f.u.) = 4.810
- crystal system = cubic


[3]
Density functional theory data (PBE-GGA) for crystalline Cs2AcPb2O6 at its relaxed geometry.

abc: 6.767 6.767 7.796
angles: 115.64 115.64 60.94
Fractional coordinates of all 11 atoms:
Cs: 0.205 0.205 0.163
Cs: 0.795 0.795 0.837
Ac: 0.000 0.000 0.500
Pb: 0.443 0.443 0.771
Pb: 0.557 0.557 0.229
O: 0.212 0.714 0.246
O: 0.239 0.239 0.613
O: 0.286 0.788 0.754
O: 0.714 0.212 0.246
O: 0.761 0.761 0.387
O: 0.788 0.286 0.754

- size of the total moment (μB/f.u.) = 0.282
- crystal system = monoclinic
- formation energy from raw total energies (kJ per mole of atoms) = -144